(1)
A plane-wave DFT calculation with meta-GGA SCAN was carried out for a PBEsol-optimized structure of TlGaTc3.

Cell lengths 4.9076, 4.9076, 4.9076 Å; angles 90.00, 90.00, 90.00 degrees
Sites, in units of the cell vectors:
Tl: 0.0000 0.0000 0.0000
Ga: 0.5000 0.5000 0.5000
Tc: 0.0000 0.0000 0.5000
Tc: 0.0000 0.5000 0.0000
Tc: 0.5000 0.0000 0.0000

Calculated values
Total DFT energy (no corrections) ... -181.4 eV/cell
Calculated volume ... 23.6 Å³/atom
Space group ... Pm-3m
Calculated formation energy ... 2.50 eV per atom


(2)
A plane-wave DFT calculation with meta-GGA SCAN was carried out for a PBEsol-optimized structure of LaY2Tl.

Cell lengths 6.6935, 6.6935, 6.6935 Å; angles 146.45, 133.41, 58.63 degrees
Sites, in units of the cell vectors:
La: 0.0000 0.0000 0.0000
Y: 0.4426 0.4426 0.0000
Y: 0.7185 0.2185 0.5000
Tl: 0.2323 0.7323 0.5000

Calculated values
Total DFT energy (no corrections) ... -172.4 eV/cell
Calculated volume ... 29.8 Å³/atom
Space group ... Imm2
Calculated formation energy ... -0.31 eV per atom
Energy relative to the lowest polymorph listed for this composition ... 12 meV/atom


(3)
A plane-wave DFT calculation with meta-GGA SCAN was carried out for a PBEsol-optimized structure of SrNbTl2Ga.

Cell lengths 5.1964, 5.1964, 5.6354 Å; angles 90.00, 90.00, 90.00 degrees
Sites, in units of the cell vectors:
Sr: 0.0000 0.0000 0.0000
Nb: 0.5000 0.5000 0.0000
Tl: 0.0000 0.5000 0.5000
Tl: 0.5000 0.0000 0.5000
Ga: 0.0000 0.0000 0.5000

Calculated values
Total DFT energy (no corrections) ... -212.4 eV/cell
Calculated volume ... 30.4 Å³/atom
Space group ... P4/mmm
Calculated formation energy ... 0.80 eV per atom


(4)
A plane-wave DFT calculation with meta-GGA SCAN was carried out for a PBEsol-optimized structure of FeAuCl.

Cell lengths 4.2614, 4.2614, 4.2614 Å; angles 60.00, 60.00, 60.00 degrees
Sites, in units of the cell vectors:
Fe: 0.0000 0.0000 0.0000
Au: 0.5000 0.5000 0.5000
Cl: 0.2500 0.2500 0.2500

Calculated values
Total DFT energy (no corrections) ... -93.1 eV/cell
Calculated volume ... 18.2 Å³/atom
Space group ... F-43m
ΔE_f (raw) ... 0.713 eV/atom


(5)
A plane-wave DFT calculation with meta-GGA SCAN was carried out for a PBEsol-optimized structure of Li3AsH.

Cell lengths 3.8964, 3.8964, 3.8964 Å; angles 90.00, 90.00, 90.00 degrees
Sites, in units of the cell vectors:
Li: 0.0000 0.0000 0.5000
Li: 0.0000 0.5000 0.0000
Li: 0.5000 0.0000 0.0000
As: 0.5000 0.5000 0.5000
H: 0.0000 0.0000 0.0000

Calculated values
Total DFT energy (no corrections) ... -33.5 eV/cell
Calculated volume ... 11.8 Å³/atom
Space group ... Pm-3m


(6)
A plane-wave DFT calculation with meta-GGA SCAN was carried out for a PBEsol-optimized structure of BP2O.

Cell lengths 5.4714, 5.4714, 5.4714 Å; angles 127.87, 127.87, 76.84 degrees
Sites, in units of the cell vectors:
B: 0.0000 0.0000 0.0000
B: 0.7500 0.2500 0.5000
P: 0.0938 0.6250 0.9688
P: 0.3750 0.3438 0.4688
P: 0.6562 0.1250 0.0312
P: 0.8750 0.9062 0.5312
O: 0.2500 0.7500 0.5000
O: 0.5000 0.5000 0.0000

Calculated values
Total DFT energy (no corrections) ... -67.1 eV/cell
Calculated volume ... 12.4 Å³/atom
Space group ... I-42d
ΔE_f (raw) ... 0.229 eV/atom